Record 1
This record from OQMD describes a relaxed structure of Ag2P2H16C12N2O9. The functional is GGA-PBE.

Computed properties:
E_tot (eV for the cell shown): -528.18
Symmetry: Cc (9)

Geometry as extended XYZ:
```
86
Lattice="6.3094 -9.4022 0.0000 6.3094 9.4022 0.0000 -0.1815 0.0000 7.1636" Properties=species:S:1:pos:R:3 pbc="T T T"
Ag 6.2186 8.5032 3.5818
Ag 2.3910 1.1775 5.6204
Ag 2.4817 -1.1775 2.0386
Ag 6.3094 -8.5032 0.0000
P 1.5717 2.2058 2.5106
P 1.4810 -2.2058 6.0924
P 7.3330 4.7429 2.7893
P 7.2423 -4.7429 6.3711
H 3.6398 5.1803 0.3207
H 3.4103 4.4203 5.1752
H 3.7136 4.2357 1.5677
H 3.3163 3.3413 3.5958
H 4.7889 4.1294 4.3583
H 4.7156 2.7915 0.0676
H 6.1660 4.6139 0.2801
H 4.1282 1.2582 2.9197
H 6.3569 3.7632 5.9355
H 7.7126 4.4333 6.9090
H 4.0375 -1.2582 6.5016
H 6.2529 1.8162 3.9604
H 6.9001 2.4089 1.1283
H 3.4070 -3.3413 0.0140
H 3.5010 -4.4203 1.5934
H 4.6249 -2.7915 3.6494
H 3.6229 -4.2357 5.1495
H 7.9857 2.1996 4.8712
H 3.5491 -5.1803 3.9026
H 8.7453 2.0631 1.7605
H 6.3436 -1.8162 0.3786
H 4.8797 -4.1294 0.7764
H 6.8093 -2.4089 4.7102
H 10.2185 2.5626 5.8342
H 6.4476 -3.7632 2.3537
H 6.0753 -4.6139 3.8619
H 8.0764 -2.1996 1.2894
H 10.9059 1.5245 2.7453
H 8.6546 -2.0631 5.3424
H 7.8034 -4.4333 3.3272
H 10.8151 -1.5245 6.3271
H 10.3092 -2.5626 2.2523
C 6.4840 5.8976 5.8756
C 6.6789 4.5904 6.5807
C 5.1170 1.7840 0.1468
C 4.7356 0.4653 3.3491
C 4.6449 -0.4653 6.9309
C 6.3492 1.5578 0.7392
C 5.9527 0.7706 3.9401
C 5.0263 -1.7840 3.7287
C 6.0434 -0.7706 0.3583
C 6.8561 0.2539 0.8450
C 6.7654 -0.2539 4.4268
C 6.2585 -1.5578 4.3210
C 8.5676 1.3339 5.1839
C 8.0875 0.0242 5.0163
C 8.1783 -0.0242 1.4345
C 9.0203 1.0141 1.8441
C 9.8186 1.5512 5.7405
C 8.6583 -1.3339 1.6021
C 8.9295 -1.0141 5.4259
C 10.2524 0.7234 2.4080
C 6.7696 -4.5904 2.9989
C 6.5747 -5.8976 2.2938
C 10.1617 -0.7234 5.9898
C 9.9093 -1.5512 2.1587
N 4.1782 0.7896 6.8066
N 4.2689 -0.7896 3.2248
N 10.6104 0.5351 6.1454
N 10.7012 -0.5351 2.5635
O 1.1800 1.5282 3.8123
O 1.6692 1.3032 1.2923
O 4.1942 4.9600 1.1000
O 2.9165 3.0209 2.6031
O 5.4545 6.1496 5.2420
O 3.9365 3.7308 4.6769
O 1.2707 -1.5282 0.2304
O 1.5785 -1.3032 4.8741
O 7.1161 6.1843 2.5323
O 6.3060 3.8659 3.4198
O 2.8258 -3.0209 6.1849
O 8.6559 4.1029 2.4458
O 4.0272 -3.7308 1.0950
O 4.1035 -4.9600 4.6818
O 6.2152 -3.8659 7.0016
O 5.5452 -6.1496 1.6602
O 7.0254 -6.1843 6.1142
O 8.5652 -4.1029 6.0276
```



Record 2
This record from OQMD describes a relaxed structure of NaReMo. The functional is GGA-PBE.

Computed properties:
Energy above the lowest structure with this stoichiometry (eV/f.u.): 0.00
Symmetry: F-43m (216)

Geometry as extended XYZ:
```
3
Lattice="0.0000 3.0600 3.0600 3.0600 0.0000 3.0600 3.0600 3.0600 0.0000" Properties=species:S:1:pos:R:3 pbc="T T T"
Na 0.0000 0.0000 0.0000
Re 4.5900 4.5900 4.5900
Mo 3.0600 3.0600 3.0600
```



- What is the formula in the second record?
  NaReMo